Computed, not measured: an optimized crystal structure of FeRhW2 at the GGA-PBE level of DFT.

The value obtained for the energy relative to the elements is 0.130 eV/atom. Its final energy is -10.300 eV per atom. The calculation puts the polymorph energy (0 for the lowest one) at 147 meV/atom. Its volume is 57.3 Å³ per cell.

a = 4.745 Å, b = 4.745 Å, c = 4.746 Å
α = 132.35°, β = 132.34°, γ = 69.66°
Fractional coordinates of all 4 atoms:
Fe 0.500 0.500 0.000
Rh 0.250 0.750 0.500
W 0.000 0.000 0.000
W 0.750 0.250 0.500